A plane-wave DFT calculation with PBE was carried out for an optimized crystal structure of CsNpSb2.

a b c (Å): 4.6503 4.6503 26.2244
angles (deg): 90.00 90.00 120.00
Space group R-3m (No. 166, hexagonal axes)
One atom of each set of equivalent atoms:
Cs1 0.0000 0.0000 0.0000 (multiplicity 3)
Np1 0.0000 0.0000 0.5000 (multiplicity 3)
Sb1 0.0000 0.0000 0.2238 (multiplicity 6)

Computed properties:
**Raw formation energy**: -0.13 eV/atom
**Offset from the most stable computed form**: 0 meV/atom
**Uncorrected energy**: -22.552 eV per formula unit